Entry 1:
## CsSbHIr (PBE)

Data for CsSbHIr after structural relaxation.

a = 4.2194 Å, b = 4.2189 Å, c = 6.6710 Å
α = 86.82°, β = 86.83°, γ = 66.95°
Last column: nearest neighbours and their distance in Å.
Fractional coordinates of all 4 atoms:
1 Sb 0.3829 0.1039 0.5930  3 Ir 2.56-2.59
2 H 0.7289 0.4503 0.9124  1 Ir 1.62
3 Ir 0.7341 0.4550 0.6696  1 H 1.62
4 Cs 0.0681 0.7892 0.1260  3 H 2.86-2.92

Properties
For the energy, the calculation gives -17.69 eV for the cell shown. For the calculated volume, the calculation gives 109.0 Å³/f.u. The calculation puts the spin magnetization at 0.00 μB per formula unit.

Entry 2:
## CsSbHIr (PBE)

Data for CsSbHIr after structural relaxation.

a = 6.7762 Å, b = 3.3020 Å, c = 9.0545 Å
α = 90.00°, β = 104.75°, γ = 90.00°
Last column: nearest neighbours and their distance in Å.
Fractional coordinates of all 8 atoms:
1 Sb 0.5399 0.0000 0.7857  3 Ir 2.62-2.69, 1 H 2.75
2 Ir 0.4331 0.5000 0.9860  2 H 1.81
3 H 0.3359 0.5000 0.5121  2 Ir 1.81
4 H 0.3359 0.0000 0.0121  2 Ir 1.81
5 Sb 0.5399 0.5000 0.2857  3 Ir 2.62-2.69, 1 H 2.75
6 Cs 0.9921 0.0000 0.1505  1 H 2.91
7 Cs 0.9921 0.5000 0.6505  1 H 2.91
8 Ir 0.4331 0.0000 0.4860  2 H 1.81

Properties
For the energy, the calculation gives -34.72 eV for the cell shown. For the calculated volume, the calculation gives 98.0 Å³/f.u. The calculation puts the spin magnetization at 0.00 μB per formula unit.

Entry 3:
## CsSbH2Ir (PBE)

Data for CsSbH2Ir after structural relaxation.

a = 3.9740 Å, b = 7.3566 Å, c = 3.9740 Å
α = 90.00°, β = 90.00°, γ = 90.00°
Last column: nearest neighbours and their distance in Å.
Fractional coordinates of all 5 atoms:
1 Ir 0.5000 0.5000 0.5000  4 Sb 2.81
2 H 0.0000 0.0000 0.5000  2 Cs 1.99
3 Cs 0.0000 0.0000 0.0000  4 H 1.99
4 H 0.5000 0.0000 0.0000  2 Cs 1.99
5 Sb 0.0000 0.5000 0.0000  4 Ir 2.81

Properties
For the energy, the calculation gives -14.08 eV for the cell shown. For the calculated volume, the calculation gives 116.2 Å³/f.u. The calculation puts the spin magnetization at 0.17 μB per formula unit.

Entry 4:
## CsSbHIr (PBE)

Data for CsSbHIr after structural relaxation.

a = 6.3581 Å, b = 4.7031 Å, c = 7.1323 Å
α = 90.00°, β = 92.59°, γ = 90.00°
Last column: nearest neighbours and their distance in Å.
Fractional coordinates of all 8 atoms:
1 Ir 0.5850 0.5000 0.6521  3 Sb 2.55-2.60
2 Sb 0.6449 0.5000 0.3003  1 H 1.81
3 Ir 0.5850 0.0000 0.1521  3 Sb 2.55-2.60
4 Cs 0.1413 0.0000 0.4532  3 H 2.88-2.92
5 Cs 0.1413 0.5000 0.9532  3 H 2.88-2.92
6 Sb 0.6449 0.0000 0.8003  1 H 1.81
7 H 0.9298 0.5000 0.3076  1 Sb 1.81
8 H 0.9298 0.0000 0.8076  1 Sb 1.81

Properties
For the energy, the calculation gives -33.52 eV for the cell shown. For the calculated volume, the calculation gives 106.5 Å³/f.u. The calculation puts the spin magnetization at 0.00 μB per formula unit.

Entry 5:
## CsSbHIr (PBE)

Data for CsSbHIr after structural relaxation.

a = 3.2907 Å, b = 4.8008 Å, c = 7.0047 Å
α = 72.22°, β = 88.94°, γ = 70.24°
Last column: nearest neighbours and their distance in Å.
Fractional coordinates of all 4 atoms:
1 Sb 0.6116 0.4163 0.5414  3 Ir 2.62-2.70, 1 H 2.77
2 H 0.3054 0.0507 0.3312  2 Ir 1.81
3 Cs 0.0321 0.6307 0.9999  1 H 2.90
4 Ir 0.8679 0.9157 0.4284  2 H 1.81

Properties
For the energy, the calculation gives -17.32 eV for the cell shown. For the calculated volume, the calculation gives 98.7 Å³/f.u. The calculation puts the spin magnetization at 0.00 μB per formula unit.

Entry 6:
## CsSbHIr (PBE)

Data for CsSbHIr after structural relaxation.

a = 3.6180 Å, b = 3.6180 Å, c = 14.2094 Å
α = 90.00°, β = 90.00°, γ = 90.00°
Last column: nearest neighbours and their distance in Å.
Fractional coordinates of all 8 atoms:
1 H 0.5000 0.5000 0.2287  1 Ir 1.64
2 Cs 0.5000 0.5000 0.8212  4 H 2.88
3 Ir 0.5000 0.5000 0.1131  1 H 1.64
4 Ir 0.0000 0.0000 0.6131  1 H 1.64
5 Sb 0.5000 0.5000 0.5480  4 Ir 2.72
6 Sb 0.0000 0.0000 0.0480  4 Ir 2.72
7 H 0.0000 0.0000 0.7287  1 Ir 1.64
8 Cs 0.0000 0.0000 0.3212  4 H 2.88

Properties
For the energy, the calculation gives -34.78 eV for the cell shown. For the calculated volume, the calculation gives 93.0 Å³/f.u. The calculation puts the spin magnetization at 0.00 μB per formula unit.